No. 1
The following is a DFT calculation (GGA+U) of a relaxed structure of Co2SbO.

Geometry as POSCAR:
```
Co2SbO
1.0
0.0000 2.9529 2.9529
2.9529 0.0000 2.9529
2.9529 2.9529 0.0000
Co O Sb
2 1 1
Direct
0.7500 0.7500 0.7500
0.2500 0.2500 0.2500
0.0000 0.0000 0.0000
0.5000 0.5000 0.5000
```

D(E_F): 3.18 states/eV/cell
M_tot: 2.72 μB/f.u.
uncorrected energy: -4.13 eV per atom
ΔE to the lowest computed polymorph: 698 meV per atom

***

No. 2
The following is a DFT calculation (GGA+U) of a relaxed structure of CoSbO4.

Geometry as POSCAR:
```
CoSbO4
1.0
-4.5107 0.6206 0.4189
-0.6282 -1.2839 -4.8620
-0.6044 -5.4096 1.5066
O Co Sb
8 2 2
Direct
0.2706 0.3307 0.3893
0.7309 0.1732 0.6130
0.7691 0.1732 0.1130
0.7294 0.6693 0.3893
0.2294 0.3307 0.8893
0.7706 0.6693 0.8893
0.2309 0.8268 0.1130
0.2691 0.8268 0.6130
0.5000 0.5000 0.6501
0.0000 0.5000 0.1501
0.5000 0.0000 0.3453
0.0000 0.0000 0.8453
```

D(E_F): 2.22 states/eV/cell
M_tot: 2.00 μB/f.u.
uncorrected energy: -5.98 eV per atom